The following is a DFT calculation (GGA-PBE) of a relaxed structure of LaBeHS2.

## Properties
Final energy   -4.510 eV per atom
DOS at the Fermi energy   1.32 states/eV/f.u.
Magnetization   0.0 Bohr magnetons per cell

Lattice parameters (Å, degrees): 4.8070 4.8070 3.4281 90.00 90.00 90.00
Closest atoms and distances in Å follow each position.
Fractional coordinates of all 5 atoms:
La (0.0000, 0.0000, 0.0000)  8 S 2.95
Be (0.5000, 0.5000, 0.0000)  2 H 1.71
H (0.5000, 0.5000, 0.5000)  2 Be 1.71
S (0.0000, 0.5000, 0.5000)  2 H 2.40
S (0.5000, 0.0000, 0.5000)  2 H 2.40

***

The following is a DFT calculation (GGA-PBE) of a relaxed structure of YSnAu.

## Properties
Energy of formation   -0.714 eV per atom
DOS at the Fermi energy   0.95 states/eV/f.u.
Magnetization   0.0 Bohr magnetons per cell

Lattice parameters (Å, degrees): 5.0528 5.0528 6.4462 90.01 90.01 60.06
Closest atoms and distances in Å follow each position.
Fractional coordinates of all 6 atoms:
Y (0.1661, 0.1661, 0.2506)  5 Au 2.92-3.22
Y (0.8339, 0.8339, 0.7494)  5 Au 2.92-3.22
Sn (0.5000, 0.5000, 0.0000)  2 Sn 3.22, 6 Au 3.32-3.34, 6 Y 3.33-3.34
Sn (0.5000, 0.5000, 0.5000)  2 Sn 3.22, 6 Au 3.33-3.34, 6 Y 3.33
Au (0.1674, 0.1674, 0.7506)  5 Y 2.92-3.22
Au (0.8326, 0.8326, 0.2494)  5 Y 2.92-3.22